1.
This record from the Alexandria database describes a crystal of SrMnHg2 relaxed with PBEsol. The functional is meta-GGA SCAN.

a = 4.5970 Å, b = 4.5981 Å, c = 6.2530 Å
α = 111.49°, β = 90.00°, γ = 119.99°
With the nearest neighbours (Å) after each atom.
Positions (direct):
Hg (0.9625, 0.9250, 0.8879)  3 Mn 2.85, 3 Hg 3.02
Sr (0.7580, 0.5160, 0.2739)  1 Mn 3.22, 7 Hg 3.34-3.48
Mn (0.5685, 0.1370, 0.7055)  6 Hg 2.69-2.85
Hg (0.2110, 0.4219, 0.6327)  3 Mn 2.69

Output
DOS(E_F) in states/eV/atom: 0.671
Energy of formation from the pure elements in meV per atom: -308
Total magnetic moment in μB/atom: 0.99
SG: No. 8



2.
This record from the Alexandria database describes a crystal of SrMn2Hg relaxed with PBEsol. The functional is meta-GGA SCAN.

a = 3.5551 Å, b = 3.5254 Å, c = 7.1275 Å
α = 90.00°, β = 90.00°, γ = 90.00°
With the nearest neighbours (Å) after each atom.
Positions (direct):
Sr (0.5000, 0.5000, 0.0000)  8 Mn 3.38, 4 Sr 3.53-3.56, 2 Hg 3.56
Mn (0.0000, 0.0000, 0.3179)  1 Mn 2.60, 4 Hg 2.82
Hg (0.5000, 0.5000, 0.5000)  8 Mn 2.82
Mn (0.0000, 0.0000, 0.6821)  1 Mn 2.60, 4 Hg 2.82

Output
DOS(E_F) in states/eV/atom: 0.816
Energy of formation from the pure elements in meV per atom: 131
Total magnetic moment in μB/atom: 2.14
SG: No. 47



3.
This record from the Alexandria database describes a crystal of TaMnHg2 relaxed with PBEsol. The functional is meta-GGA SCAN.

a = 4.6233 Å, b = 4.6233 Å, c = 4.6233 Å
α = 60.00°, β = 60.00°, γ = 60.00°
With the nearest neighbours (Å) after each atom.
Positions (direct):
Ta (0.2500, 0.2500, 0.2500)  4 Hg 2.83, 4 Mn 2.83
Hg (0.0000, 0.0000, 0.0000)  4 Hg 2.83, 4 Ta 2.83
Hg (0.7500, 0.7500, 0.7500)  4 Hg 2.83, 4 Mn 2.83
Mn (0.5000, 0.5000, 0.5000)  4 Hg 2.83, 4 Ta 2.83

Output
DOS(E_F) in states/eV/atom: 0.463
Energy of formation from the pure elements in meV per atom: 446
Total magnetic moment in μB/atom: 0.55
SG: No. 216



4.
This record from the Alexandria database describes a crystal of TaMnHg relaxed with PBEsol. The functional is meta-GGA SCAN.

a = 2.8391 Å, b = 2.8391 Å, c = 6.5211 Å
α = 101.91°, β = 101.91°, γ = 92.97°
With the nearest neighbours (Å) after each atom.
Positions (direct):
Hg (0.9939, 0.9939, 0.9877)  4 Hg 2.84, 4 Mn 2.84-2.91, 4 Ta 3.01-3.08
Ta (0.6778, 0.6778, 0.3556)  4 Mn 2.71-2.78, 4 Ta 2.84, 2 Hg 3.01
Mn (0.3283, 0.3283, 0.6566)  4 Ta 2.71-2.78, 4 Mn 2.84, 4 Hg 2.84-2.91

Output
DOS(E_F) in states/eV/atom: 0.593
Energy of formation from the pure elements in meV per atom: 93
Total magnetic moment in μB/atom: 1.20
SG: No. 42



5.
This record from the Alexandria database describes a crystal of TaMnHg2 relaxed with PBEsol. The functional is meta-GGA SCAN.

a = 2.8892 Å, b = 2.8892 Å, c = 8.5575 Å
α = 90.00°, β = 90.00°, γ = 90.10°
With the nearest neighbours (Å) after each atom.
Positions (direct):
Hg (0.5000, 0.5000, 0.7242)  4 Mn 2.87, 8 Hg 2.89-3.21
Mn (0.0000, 0.0000, 0.4893)  4 Ta 2.75-2.76, 4 Hg 2.87, 4 Mn 2.89
Ta (0.5000, 0.5000, 0.2735)  4 Mn 2.75-2.76, 4 Ta 2.89, 4 Hg 3.02
Hg (0.0000, 0.0000, 0.0130)  8 Hg 2.89-3.21, 4 Ta 3.02

Output
DOS(E_F) in states/eV/atom: 0.437
Energy of formation from the pure elements in meV per atom: 133
Total magnetic moment in μB/atom: 0.92
SG: No. 99



6.
This record from the Alexandria database describes a crystal of Ta2MnHg relaxed with PBEsol. The functional is meta-GGA SCAN.

a = 3.9966 Å, b = 3.9966 Å, c = 5.0336 Å
α = 113.39°, β = 113.39°, γ = 90.00°
With the nearest neighbours (Å) after each atom.
Positions (direct):
Hg (0.5000, 0.5000, 0.0000)  8 Ta 2.83-2.89, 4 Mn 2.89
Ta (0.0000, 0.0000, 0.0000)  4 Hg 2.83, 4 Mn 2.89, 4 Ta 2.89
Mn (0.2500, 0.7500, 0.5000)  8 Ta 2.83-2.89, 4 Hg 2.89
Ta (0.7500, 0.2500, 0.5000)  4 Mn 2.83, 4 Hg 2.89, 4 Ta 2.89

Output
DOS(E_F) in states/eV/atom: 0.962
Energy of formation from the pure elements in meV per atom: 237
Total magnetic moment in μB/atom: 0.66
SG: No. 119



7.
This record from the Alexandria database describes a crystal of Ta2MnHg relaxed with PBEsol. The functional is meta-GGA SCAN.

a = 3.0225 Å, b = 3.0225 Å, c = 8.6758 Å
α = 79.97°, β = 79.97°, γ = 60.00°
With the nearest neighbours (Å) after each atom.
Positions (direct):
Mn (0.0000, 0.0000, 0.0000)  6 Ta 2.51
Ta (0.2627, 0.2627, 0.2118)  3 Mn 2.51
Hg (0.5000, 0.5000, 0.5000)  6 Ta 3.01, 6 Hg 3.02
Ta (0.7373, 0.7373, 0.7882)  3 Mn 2.51

Output
DOS(E_F) in states/eV/atom: 0.771
Energy of formation from the pure elements in meV per atom: 318
Total magnetic moment in μB/atom: 0.00
SG: No. 166



8.
This record from the Alexandria database describes a crystal of MnTc2Hg relaxed with PBEsol. The functional is meta-GGA SCAN.

a = 2.6790 Å, b = 5.0046 Å, c = 5.2666 Å
α = 115.66°, β = 100.13°, γ = 99.51°
With the nearest neighbours (Å) after each atom.
Positions (direct):
Hg (0.0000, 0.5000, 0.0000)  2 Mn 2.64, 2 Hg 2.68, 4 Tc 2.74
Tc (0.0000, 0.0000, 0.5000)  4 Tc 2.64-2.68, 2 Hg 2.74, 2 Mn 2.74
Mn (0.5000, 0.0000, 0.0000)  2 Hg 2.64, 2 Mn 2.68, 4 Tc 2.74
Tc (0.5000, 0.5000, 0.5000)  4 Tc 2.64-2.68, 2 Hg 2.74, 2 Mn 2.74

Output
DOS(E_F) in states/eV/atom: 0.804
Energy of formation from the pure elements in meV per atom: 411
Total magnetic moment in μB/atom: 0.85
SG: No. 12



9.
This record from the Alexandria database describes a crystal of MnTcHg2 relaxed with PBEsol. The functional is meta-GGA SCAN.

a = 4.5595 Å, b = 4.5595 Å, c = 4.5595 Å
α = 60.00°, β = 60.00°, γ = 60.00°
With the nearest neighbours (Å) after each atom.
Positions (direct):
Hg (0.0000, 0.0000, 0.0000)  4 Hg 2.79, 4 Tc 2.79
Hg (0.7500, 0.7500, 0.7500)  4 Hg 2.79, 4 Mn 2.79
Mn (0.5000, 0.5000, 0.5000)  4 Hg 2.79, 4 Tc 2.79
Tc (0.2500, 0.2500, 0.2500)  4 Hg 2.79, 4 Mn 2.79

Output
DOS(E_F) in states/eV/atom: 0.469
Energy of formation from the pure elements in meV per atom: 522
Total magnetic moment in μB/atom: 1.03
SG: No. 216



10.
This record from the Alexandria database describes a crystal of MnTc2Hg relaxed with PBEsol. The functional is meta-GGA SCAN.

a = 2.7379 Å, b = 2.7379 Å, c = 7.6705 Å
α = 90.00°, β = 90.00°, γ = 90.00°
With the nearest neighbours (Å) after each atom.
Positions (direct):
Mn (0.5000, 0.5000, 0.5000)  8 Tc 2.52, 4 Mn 2.74
Tc (0.0000, 0.0000, 0.7100)  4 Mn 2.52, 4 Tc 2.74
Tc (0.0000, 0.0000, 0.2900)  4 Mn 2.52, 4 Tc 2.74
Hg (0.5000, 0.5000, 0.0000)  4 Hg 2.74, 8 Tc 2.95

Output
DOS(E_F) in states/eV/atom: 0.762
Energy of formation from the pure elements in meV per atom: 375
Total magnetic moment in μB/atom: 0.00
SG: No. 123



11.
This record from the Alexandria database describes a crystal of MnTc2Hg relaxed with PBEsol. The functional is meta-GGA SCAN.

a = 3.9004 Å, b = 3.9004 Å, c = 4.7464 Å
α = 114.26°, β = 114.26°, γ = 90.00°
With the nearest neighbours (Å) after each atom.
Positions (direct):
Tc (0.0000, 0.0000, 0.0000)  4 Tc 2.74, 4 Mn 2.74, 4 Hg 2.76
Hg (0.5000, 0.5000, 0.0000)  4 Mn 2.74, 8 Tc 2.74-2.76
Tc (0.7500, 0.2500, 0.5000)  4 Hg 2.74, 4 Tc 2.74, 4 Mn 2.76
Mn (0.2500, 0.7500, 0.5000)  4 Hg 2.74, 8 Tc 2.74-2.76

Output
DOS(E_F) in states/eV/atom: 0.796
Energy of formation from the pure elements in meV per atom: 253
Total magnetic moment in μB/atom: 0.77
SG: No. 119



12.
This record from the Alexandria database describes a crystal of Mn2HgTe relaxed with PBEsol. The functional is meta-GGA SCAN.

a = 3.7096 Å, b = 4.0216 Å, c = 5.3724 Å
α = 90.00°, β = 110.11°, γ = 90.00°
With the nearest neighbours (Å) after each atom.
Positions (direct):
Hg (0.2395, 0.5000, 0.8538)  7 Mn 2.75-2.95
Mn (0.7844, 0.0000, 0.9436)  2 Mn 2.72, 3 Te 2.77-2.94, 4 Hg 2.77
Te (0.5099, 0.0000, 0.3947)  7 Mn 2.77-2.94
Mn (0.9662, 0.5000, 0.3079)  2 Mn 2.72, 3 Hg 2.75-2.95, 4 Te 2.77

Output
Excess energy over the best structure of this formula in the dataset in kcal/mol of atoms: 0.000
DOS(E_F) in states/eV/atom: 0.679
Total magnetic moment in μB/atom: 2.00
Formation energy without anion corrections in meV/atom: -43
SG: No. 6



Number 3 is which compound? TaMnHg2



Which of these has the lowest DOS(E_F)? number 5



Which value of total magnetic moment does entry 5 give? 0.92 μB/atom